! IrIF3, optimized geometry, DFT PBE; values from VASP
&SYSTEM
  ibrav = 0, nat = 5, ntyp = 3
/
ATOMIC_SPECIES
F 19.00 F.upf
I 126.90 I.upf
Ir 192.22 Ir.upf
ATOMIC_POSITIONS crystal
F 0.0000 0.5000 0.0000
I 0.5000 0.5000 0.5000
F 0.5000 0.0000 0.0000
F 0.0000 0.0000 0.5000
Ir 0.0000 0.0000 0.0000
CELL_PARAMETERS angstrom
4.3015 0.0000 0.0000
0.0000 4.3015 0.0000
0.0000 0.0000 4.3015
! V = 79.6 Å³ per cell
! Total magnetic moment = 0.81 μB per cell
! Symmetry = No. 221
! Total energy = -0.26047 Ry per atom
! Fermi-level density of states = 14.01 states/eV per cell
! Formation energy (no corrections) = -0.34 eV per atom